# 1
Entry from the Alexandria database: crystalline KPt3 at its relaxed geometry (PBE).

extended XYZ file:
```
4
Lattice="-5.106 -4.833 -3.344 2.651 -3.536 1.064 4.886 5.470 6.006" Properties=species:S:1:pos:R:3 pbc="T T T"
K 0.000 0.000 0.000
Pt -0.331 -3.320 -0.498
Pt -2.553 -2.417 -1.672
Pt 2.762 0.420 4.225
```

Values from the calculation:
Calculated formation energy in eV/atom: 0.211
Space-group type: P2/m, No. 10
ρ in g/cm³: 12.4
M_tot in Bohr magnetons per cell: 0.000
V in Å³/atom: 20.93

# 2
Entry from the Alexandria database: crystalline Ce2NpAgS5 at its relaxed geometry (PBE).

extended XYZ file:
```
18
Lattice="-3.746 -0.040 -1.348 1.641 -8.176 1.562 -4.082 1.339 11.301" Properties=species:S:1:pos:R:3 pbc="T T T"
Ce -5.329 -5.056 9.076
Ce -2.851 -0.955 7.949
Ce -1.301 -1.675 3.664
Ce -2.809 -6.094 2.107
Np -4.074 -4.364 5.570
Np -0.108 -3.170 0.394
Ag -5.839 0.901 10.317
Ag -2.136 -7.190 6.147
S -4.247 -4.520 11.934
S -5.414 -2.058 9.224
S -3.379 -7.135 9.599
S -2.832 -3.899 7.983
S -4.466 -6.690 6.729
S -3.980 -1.687 5.228
S -1.552 -4.562 4.448
S -2.981 0.315 2.393
S -2.625 -3.217 1.510
S -0.363 -0.632 1.026
```

Values from the calculation:
Space-group type: Cmc2_1, No. 36
ρ in g/cm³: 6.6
Energy relative to the elements, uncorrected in eV/atom: -1.4678
M_tot in Bohr magnetons per cell: 11.822
V in Å³/atom: 22.05